This record from Alexandria via LeMat-Bulk describes a geometry-optimized NbVCoRe structure. The functional is GGA-PBE.

Geometry as extended XYZ:
```
4
Lattice="-0.075 -3.755 -2.194 -0.783 -3.729 2.098 -3.766 -2.088 -0.609" Properties=species:S:1:pos:R:3 pbc="T T T"
Re -1.156 -2.393 -0.176
V -2.312 -4.786 -0.352
Co -3.468 -7.179 -0.528
Nb 0.000 0.000 0.000
```

Output
The space group is F-43m (216). Its total energy is -9.81 eV/atom.